Entry 1:
PrNiSb: optimized geometry, GGA-PBEsol.

a = 4.3156 Å, b = 4.3156 Å, c = 4.1630 Å
α = 90.00°, β = 90.00°, γ = 120.00°
Space group P-6m2 (No. 187)
Unique sites:
Pr 0.0000 0.0000 0.0000
Ni 0.6667 0.3333 0.5000
Sb 0.3333 0.6667 0.5000

Output
total moment	0.0	μB per cell
D(E_F)	2.0	states/eV/f.u.
raw formation energy	-0.829	eV per atom

Entry 2:
Pr6Si3Ni2: optimized geometry, GGA-PBEsol.

a = 11.5636 Å, b = 4.4642 Å, c = 11.6584 Å
α = 90.00°, β = 118.94°, γ = 90.00°
Space group Pm (No. 6)
Unique sites:
Pr 0.0000 0.0000 0.0000
Pr 0.0057 0.5000 0.2360
Pr 0.1560 0.0000 0.5443
Pr 0.2441 0.0000 0.8866
Pr 0.2846 0.5000 0.1573
Pr 0.3873 0.5000 0.5072
Pr 0.5227 0.0000 0.7922
Pr 0.5429 0.5000 0.0297
Pr 0.6314 0.5000 0.3935
Pr 0.7579 0.5000 0.7805
Pr 0.7859 0.0000 0.2534
Pr 0.8978 0.0000 0.6308
Si 0.1020 0.5000 0.6934
Si 0.2071 0.0000 0.3054
Si 0.4346 0.0000 0.3535
Si 0.4882 0.0000 0.1776
Si 0.6095 0.0000 0.5770
Si 0.9302 0.5000 0.4579
Ni 0.0523 0.5000 0.8670
Ni 0.3285 0.5000 0.7531
Ni 0.7661 0.2475 0.0108

Output
total moment	0.0	μB per cell
D(E_F)	10.4	states/eV/f.u.
raw formation energy	-0.481	eV per atom

Entry 3:
Pr3Si2Ni6: optimized geometry, GGA-PBEsol.

a = 8.8444 Å, b = 8.8444 Å, c = 8.8444 Å
α = 90.00°, β = 90.00°, γ = 90.00°
Space group Im-3m (No. 229)
Unique sites:
Pr 0.0000 0.0000 0.2846
Si 0.2500 0.2500 0.2500
Ni 0.0000 0.3312 0.3312

Output
total moment	0.0	μB per cell
D(E_F)	7.0	states/eV/f.u.
raw formation energy	-0.540	eV per atom

Entry 4:
PrSi2Ni: optimized geometry, GGA-PBEsol.

a = 4.1269 Å, b = 16.2808 Å, c = 4.0496 Å
α = 90.00°, β = 90.00°, γ = 90.00°
Space group Cmcm (No. 63)
Unique sites:
Pr 0.0000 0.1063 0.2500
Si 0.0000 0.2496 0.7500
Si 0.0000 0.4588 0.2500
Ni 0.0000 0.3180 0.2500

Output
total moment	0.0	μB per cell
D(E_F)	1.8	states/eV/f.u.
raw formation energy	-0.886	eV per atom

Entry 5:
Pr2Si3Ni: optimized geometry, GGA-PBEsol.

a = 4.0291 Å, b = 4.0291 Å, c = 8.4008 Å
α = 90.00°, β = 90.00°, γ = 120.00°
Space group P-6m2 (No. 187)
Unique sites:
Pr 0.0000 0.0000 0.2445
Si 0.3333 0.6667 0.0000
Si 0.3333 0.6667 0.5000
Si 0.6667 0.3333 0.5000
Ni 0.6667 0.3333 0.0000

Output
total moment	0.0	μB per cell
D(E_F)	5.4	states/eV/f.u.
raw formation energy	-0.722	eV per atom

Entry 6:
PrSi2Ni9: optimized geometry, GGA-PBEsol.

a = 9.7053 Å, b = 9.7053 Å, c = 6.1372 Å
α = 90.00°, β = 90.00°, γ = 90.00°
Space group I4_1/amd (No. 141, origin choice 2)
Unique sites:
Pr 0.0000 0.2500 0.3750
Si 0.0000 0.0000 0.0000
Ni 0.0000 0.2500 0.8750
Ni 0.1247 0.0461 0.6878

Output
total moment	0.0	μB per cell
D(E_F)	10.3	states/eV/f.u.
raw formation energy	-0.496	eV per atom